Entry 1:
KGe3Au4 after structural relaxation, computed with PBE.

Results
VASP energy (eV/f.u.): -28.921
DFT formation energy (eV/atom): -0.108
SG: P4/mmm (123)

Cell: 4.6153 4.6153 8.2179 Å, 90.00 90.00 90.00°
Closest atoms and distances in Å follow each position.
Atoms (fractional coordinates):
Ge 0.5000 0.5000 0.6653  4 Au 2.62, 1 Ge 2.72
Ge 0.5000 0.5000 0.3347  4 Au 2.62, 1 Ge 2.72
Ge 0.0000 0.0000 0.0000  8 Au 2.76
Au 0.0000 0.5000 0.1838  4 Ge 2.62-2.76
Au 0.5000 0.0000 0.8162  4 Ge 2.62-2.76
Au 0.0000 0.5000 0.8162  4 Ge 2.62-2.76
Au 0.5000 0.0000 0.1838  4 Ge 2.62-2.76
K 0.0000 0.0000 0.5000  8 Au 3.48, 8 Ge 3.53

Entry 2:
KGeAu after structural relaxation, computed with PBE.

Results
VASP energy (eV/f.u.): -9.768
DFT formation energy (eV/atom): -0.258
SG: Pnma (62)

Cell: 5.3446 6.7941 9.0172 Å, 90.00 90.00 90.00°
Closest atoms and distances in Å follow each position.
Atoms (fractional coordinates):
Ge 0.2500 0.4998 0.0392  2 Au 2.55, 2 Ge 2.76
Ge 0.7500 0.5002 0.9608  2 Au 2.55, 2 Ge 2.76
Ge 0.2500 0.9998 0.4608  2 Au 2.55, 2 Ge 2.76
Ge 0.7500 0.0002 0.5392  2 Au 2.55, 2 Ge 2.76
Au 0.2500 0.2496 0.2499  2 Ge 2.55
Au 0.7500 0.2504 0.7499  2 Ge 2.55
Au 0.2500 0.7496 0.2501  2 Ge 2.55
Au 0.7500 0.7504 0.7501  2 Ge 2.55
K 0.2500 0.0005 0.8657  4 Au 3.33, 2 K 3.61, 1 Ge 3.65
K 0.2500 0.5005 0.6343  4 Au 3.33, 2 K 3.61, 1 Ge 3.65
K 0.7500 0.9995 0.1343  4 Au 3.33, 2 K 3.61, 1 Ge 3.65
K 0.7500 0.4995 0.3657  4 Au 3.33, 2 K 3.61, 1 Ge 3.65

Entry 3:
K3Ge2Au3 after structural relaxation, computed with PBE.

Results
VASP energy (eV/f.u.): -23.683
DFT formation energy (eV/atom): -0.165
SG: Cmcm (63)

Cell: 4.1040 6.4963 18.6010 Å, 90.00 90.00 108.41°
Closest atoms and distances in Å follow each position.
Atoms (fractional coordinates):
Au 0.1680 0.3360 0.7500  4 Ge 2.71, 2 Au 2.91
Au 0.9130 0.8261 0.3969  2 Ge 2.62, 1 Au 2.91
Au 0.0870 0.1739 0.8969  2 Ge 2.62, 1 Au 2.91
Au 0.8320 0.6640 0.2500  4 Ge 2.71, 2 Au 2.91
Au 0.0870 0.1739 0.6031  2 Ge 2.62, 1 Au 2.91
Au 0.9130 0.8261 0.1031  2 Ge 2.62, 1 Au 2.91
Ge 0.6920 0.3840 0.6559  4 Au 2.62-2.71
Ge 0.6920 0.3840 0.8441  4 Au 2.62-2.71
Ge 0.3080 0.6160 0.3441  4 Au 2.62-2.71
Ge 0.3080 0.6160 0.1559  4 Au 2.62-2.71
K 0.6305 0.2610 0.0497  5 Au 3.52-3.62, 3 Ge 3.59-3.90, 2 K 3.71-3.82
K 0.3695 0.7390 0.5497  5 Au 3.52-3.62, 3 Ge 3.59-3.90, 2 K 3.71-3.82
K 0.3695 0.7390 0.9503  5 Au 3.52-3.62, 3 Ge 3.59-3.90, 2 K 3.71-3.82
K 0.6305 0.2610 0.4503  5 Au 3.52-3.62, 3 Ge 3.59-3.90, 2 K 3.71-3.82
K 0.4372 0.8744 0.7500  3 Au 3.32-3.51, 2 Ge 3.60
K 0.5628 0.1256 0.2500  3 Au 3.32-3.51, 2 Ge 3.60

Entry 4:
KGe2Au3 after structural relaxation, computed with PBE.

Results
VASP energy (eV/f.u.): -21.365
DFT formation energy (eV/atom): -0.200
SG: Cmcm (63)

Cell: 6.1314 6.9352 6.9352 Å, 106.47 90.00 90.00°
Closest atoms and distances in Å follow each position.
Atoms (fractional coordinates):
Ge 0.0000 0.1885 0.8115  6 Au 2.60-2.90
Ge 0.5000 0.1885 0.8115  6 Au 2.60-2.90
Ge 0.0000 0.8115 0.1885  6 Au 2.60-2.90
Ge 0.5000 0.8115 0.1885  6 Au 2.60-2.90
K 0.7500 0.6569 0.6569  11 Au 3.53-3.81, 4 Ge 3.85
K 0.2500 0.3431 0.3431  11 Au 3.53-3.81, 4 Ge 3.85
Au 0.2500 0.5039 0.9039  4 Ge 2.60-2.90, 1 Au 2.84
Au 0.2500 0.9039 0.5039  4 Ge 2.60-2.90, 1 Au 2.84
Au 0.7500 0.4961 0.0961  4 Ge 2.60-2.90, 1 Au 2.84
Au 0.7500 0.0822 0.0822  4 Ge 2.68, 2 Au 2.84
Au 0.7500 0.0961 0.4961  4 Ge 2.60-2.90, 1 Au 2.84
Au 0.2500 0.9178 0.9178  4 Ge 2.68, 2 Au 2.84

Entry 5:
KGeAu after structural relaxation, computed with PBE.

Results
VASP energy (eV/f.u.): -9.521
DFT formation energy (eV/atom): -0.176
SG: P-6m2 (187)

Cell: 5.3011 4.3748 4.3748 Å, 120.00 90.00 90.00°
Closest atoms and distances in Å follow each position.
Atoms (fractional coordinates):
Ge 0.1666 0.6667 0.3333  3 Au 2.53
Au 0.1667 0.0000 0.0000  3 Ge 2.53
K 0.6667 0.3333 0.6667  6 Au 3.66, 6 Ge 3.66

Entry 6:
K2GeAu after structural relaxation, computed with PBE.

Results
VASP energy (eV/f.u.): -10.940
DFT formation energy (eV/atom): -0.212
SG: Cmcm (63)

Cell: 6.9026 6.3435 6.3435 Å, 108.37 90.00 90.00°
Closest atoms and distances in Å follow each position.
Atoms (fractional coordinates):
Au 0.0000 0.5000 0.5000  2 Ge 2.51
Au 0.5000 0.5000 0.5000  2 Ge 2.51
K 0.2500 0.6673 0.0087  2 Ge 3.44-3.56, 1 K 3.51, 2 Au 3.52
K 0.2500 0.0087 0.6673  2 Ge 3.44-3.56, 1 K 3.51, 2 Au 3.52
K 0.7500 0.9913 0.3327  2 Ge 3.44-3.56, 1 K 3.51, 2 Au 3.52
K 0.7500 0.3327 0.9913  2 Ge 3.44-3.56, 1 K 3.51, 2 Au 3.52
Ge 0.7500 0.7446 0.7446  2 Au 2.51
Ge 0.2500 0.2554 0.2554  2 Au 2.51

Entry 7:
KGeAu after structural relaxation, computed with PBE.

Results
VASP energy (eV/f.u.): -9.517
DFT formation energy (eV/atom): -0.175
SG: P-1 (2)

Cell: 4.3942 7.1540 6.6404 Å, 60.84 70.71 89.69°
Closest atoms and distances in Å follow each position.
Atoms (fractional coordinates):
Ge 0.9681 0.9482 0.3424  3 Au 2.65-2.68, 2 Ge 2.85-2.90
Ge 0.4515 0.6798 0.3659  3 Au 2.65-2.68, 2 Ge 2.85-2.90
Au 0.6071 0.1079 0.0635  3 Ge 2.65-2.68, 1 Au 2.76
Au 0.8121 0.5202 0.6452  3 Ge 2.65-2.68, 1 Au 2.76
K 0.3110 0.1179 0.6553  4 Au 3.34-3.60, 3 Ge 3.46-3.55, 1 K 3.74
K 0.1082 0.5104 0.0534  5 Au 3.34-3.75, 3 Ge 3.46-3.55, 1 K 3.74

Entry 8:
K2LiGe3Au12 after structural relaxation, computed with PBE.

Results
VASP energy (eV/f.u.): -56.565
DFT formation energy (eV/atom): 0.040
SG: R-3m (166)

Cell: 8.3900 8.3900 8.3900 Å, 66.29 66.29 66.29°
Closest atoms and distances in Å follow each position.
Atoms (fractional coordinates):
Li 0.0000 0.0000 0.0000  6 Au 2.50
Au 0.8500 0.3252 0.3252  2 Ge 2.59, 2 Au 2.78
Au 0.6608 0.1113 0.1113  1 Li 2.50, 1 Ge 2.51
Au 0.3252 0.8500 0.3252  2 Ge 2.59, 2 Au 2.78
Au 0.6748 0.6748 0.1500  2 Ge 2.59, 2 Au 2.78
Au 0.8887 0.8887 0.3392  1 Li 2.50, 1 Ge 2.51
Au 0.3252 0.3252 0.8500  2 Ge 2.59, 2 Au 2.78
Au 0.1113 0.6608 0.1113  1 Li 2.50, 1 Ge 2.51
Au 0.6748 0.1500 0.6748  2 Ge 2.59, 2 Au 2.78
Au 0.3392 0.8887 0.8887  1 Li 2.50, 1 Ge 2.51
Au 0.1500 0.6748 0.6748  2 Ge 2.59, 2 Au 2.78
Au 0.8887 0.3392 0.8887  1 Li 2.50, 1 Ge 2.51
Au 0.1113 0.1113 0.6608  1 Li 2.50, 1 Ge 2.51
K 0.3822 0.3822 0.3822  9 Au 3.38-3.61
K 0.6178 0.6178 0.6178  9 Au 3.38-3.61
Ge 0.5000 0.0000 0.0000  6 Au 2.51-2.59
Ge 0.0000 0.5000 0.0000  6 Au 2.51-2.59
Ge 0.0000 0.0000 0.5000  6 Au 2.51-2.59

Entry 9:
KLiGeAu2 after structural relaxation, computed with PBE.

Results
VASP energy (eV/f.u.): -15.203
DFT formation energy (eV/atom): -0.204
SG: P4/mmm (123)

Cell: 5.0199 5.0199 5.0520 Å, 90.00 90.00 90.00°
Closest atoms and distances in Å follow each position.
Atoms (fractional coordinates):
Li 0.0000 0.0000 0.5000  2 Ge 2.53
Au 0.0000 0.5000 0.0000  2 Ge 2.51
Au 0.5000 0.0000 0.0000  2 Ge 2.51
K 0.5000 0.5000 0.5000  4 Li 3.55, 8 Au 3.56
Ge 0.0000 0.0000 0.0000  4 Au 2.51, 2 Li 2.53

Entry 10:
KLiGeAu3 after structural relaxation, computed with PBE.

Results
VASP energy (eV/f.u.): -18.687
DFT formation energy (eV/atom): -0.204
SG: Cmcm (63)

Cell: 6.2829 6.9724 6.9496 Å, 120.11 90.00 90.00°
Closest atoms and distances in Å follow each position.
Atoms (fractional coordinates):
K 0.2500 0.7146 0.4292  1 Li 2.78
K 0.7500 0.2854 0.5708  1 Li 2.78
Au 0.5000 0.2782 0.0000  2 Li 2.58, 2 Ge 2.66
Au 0.7500 0.8387 0.6775  1 Li 2.59, 1 Ge 2.59
Au 0.5000 0.7218 0.0000  2 Li 2.58, 2 Ge 2.66
Au 0.0000 0.2782 0.0000  2 Li 2.58, 2 Ge 2.66
Au 0.2500 0.1613 0.3225  1 Li 2.59, 1 Ge 2.59
Au 0.0000 0.7218 0.0000  2 Li 2.58, 2 Ge 2.66
Ge 0.7500 0.6233 0.2466  5 Au 2.59-2.66
Ge 0.2500 0.3767 0.7534  5 Au 2.59-2.66
Li 0.7500 0.0541 0.1082  5 Au 2.58-2.59, 1 K 2.78
Li 0.2500 0.9459 0.8918  5 Au 2.58-2.59, 1 K 2.78

Entry 11:
KNa2GeAu after structural relaxation, computed with PBE.

Results
VASP energy (eV/f.u.): -12.136
DFT formation energy (eV/atom): -0.101
SG: P4/mmm (123)
Offset from the most stable computed form (eV per atom): 0.007

Cell: 5.6981 5.6981 4.9265 Å, 90.00 90.00 90.00°
Closest atoms and distances in Å follow each position.
Atoms (fractional coordinates):
Na 0.0000 0.5000 0.0000  2 Ge 2.85
Na 0.5000 0.0000 0.0000  2 Ge 2.85
Ge 0.0000 0.0000 0.0000  2 Au 2.46
Au 0.0000 0.0000 0.5000  2 Ge 2.46
K 0.5000 0.5000 0.5000  8 Na 3.77, 4 Au 4.03

Entry 12:
KNa2GeAu after structural relaxation, computed with PBE.

Results
VASP energy (eV/f.u.): -12.170
DFT formation energy (eV/atom): -0.108
SG: P4/mmm (123)
Offset from the most stable computed form (eV per atom): 0.000

Cell: 5.6947 5.6947 4.9159 Å, 90.00 90.00 90.00°
Closest atoms and distances in Å follow each position.
Atoms (fractional coordinates):
Na 0.0000 0.5000 0.0000  2 Au 2.85
Na 0.5000 0.0000 0.0000  2 Au 2.85
K 0.5000 0.5000 0.5000  8 Na 3.76, 4 Ge 4.03
Au 0.0000 0.0000 0.0000  2 Ge 2.46
Ge 0.0000 0.0000 0.5000  2 Au 2.46